# PBE-GGA Sr2ZnIrBr, relaxed
# Uncorrected formation energy (eV per atom): -0.610
# Total DFT energy (no corrections) (Ha/atom): -0.1339
data_Sr2ZnIrBr
_chemical_formula_sum 'Sr2 Zn1 Ir1 Br1'
_cell_length_a 5.825
_cell_length_b 5.825
_cell_length_c 4.794
_cell_angle_alpha 90.00
_cell_angle_beta 90.00
_cell_angle_gamma 90.00
_symmetry_space_group_name_H-M 'P 4/m m m'
_symmetry_Int_Tables_number 123
_symmetry_space_group_name_Hall '-P 4 2'
loop_
_atom_site_label
_atom_site_fract_x
_atom_site_fract_y
_atom_site_fract_z
Sr1 0.000 0.500 0.000
Zn1 0.000 0.000 0.500
Ir1 0.000 0.000 0.000
Br1 0.500 0.500 0.500